[1]
A plane-wave DFT calculation with PBE-GGA was carried out for a geometry-optimized MgSnSb structure.

Output
- crystal system = triclinic
- space group = No. 1
- VASP energy (eV/atom) = -3.3907

a = 4.771 Å, b = 4.783 Å, c = 10.000 Å
α = 83.11°, β = 83.02°, γ = 61.94°
Element x y z (fractional)
Mg 0.000 0.000 0.000
Mg 0.456 0.462 0.235
Sn 0.468 0.432 0.661
Sn 0.820 0.784 0.571
Sb 0.349 0.350 0.947
Sb 0.786 0.796 0.285


[2]
A plane-wave DFT calculation with PBE-GGA was carried out for a geometry-optimized Sc4CdGa2Ag structure.

Output
- crystal system = trigonal
- calculated formation energy (eV per formula unit) = -3.6
- space group = No. 166
- VASP energy (eV/atom) = -4.8453

a = 8.398 Å, b = 8.398 Å, c = 8.398 Å
α = 33.51°, β = 33.51°, γ = 33.51°
Element x y z (fractional)
Sc 0.123 0.123 0.123
Sc 0.373 0.373 0.373
Sc 0.627 0.627 0.627
Sc 0.877 0.877 0.877
Cd 0.500 0.500 0.500
Ga 0.249 0.249 0.249
Ga 0.751 0.751 0.751
Ag 0.000 0.000 0.000


[3]
A plane-wave DFT calculation with PBE-GGA was carried out for a geometry-optimized TlC structure.

Output
- crystal system = orthorhombic
- calculated formation energy (eV per formula unit) = 4.2
- space group = No. 19
- VASP energy (eV/atom) = -3.7091
- energy above the most stable polymorph in this dataset (kJ per mole of atoms) = 125.63

a = 6.625 Å, b = 6.817 Å, c = 7.362 Å
α = 90.00°, β = 90.00°, γ = 90.00°
Element x y z (fractional)
Tl 0.192 0.018 0.240
Tl 0.221 0.539 0.936
Tl 0.279 0.461 0.436
Tl 0.308 0.982 0.740
Tl 0.692 0.482 0.760
Tl 0.721 0.961 0.064
Tl 0.779 0.039 0.564
Tl 0.808 0.518 0.260
C 0.126 0.370 0.178
C 0.130 0.129 0.526
C 0.370 0.871 0.026
C 0.374 0.630 0.678
C 0.626 0.130 0.822
C 0.630 0.371 0.474
C 0.870 0.629 0.974
C 0.874 0.870 0.322